Record 1
Compound: MgNi2PdN
Source: Alexandria
Functional: PBE
Structure: relaxed

Structure (extended XYZ):
```
5
Lattice="3.7470 0.0000 0.0000 0.0000 3.7470 0.0000 0.0000 0.0000 4.2610" Properties=species:S:1:pos:R:3 pbc="T T T"
Ni 0.0000 1.8735 0.0000
Ni 1.8735 0.0000 0.0000
Mg 0.0000 0.0000 2.1305
Pd 1.8735 1.8735 2.1305
N 0.0000 0.0000 0.0000
```

As for the energy: -5.5814 eV/atom. Its space group is P4/mmm, No. 123. The value obtained for the density of states at the Fermi level is 3.38 states/eV per cell. The value obtained for the volume is 11.97 Å³/atom. The value obtained for the distance to the lowest polymorph of the same formula is 0.0 meV per atom. Its energy relative to the elements, uncorrected is -0.25 eV per atom.

=====

Record 2
Compound: Mg2NiPdN
Source: Alexandria
Functional: PBE
Structure: relaxed

Structure (extended XYZ):
```
5
Lattice="-2.6868 3.3635 -0.6745 -2.9681 -2.7089 -1.6849 -1.4245 -0.4799 3.2810" Properties=species:S:1:pos:R:3 pbc="T T T"
Ni -0.7123 -0.2400 1.6405
Mg -1.4841 -1.3545 -0.8425
Mg -1.3434 1.6817 -0.3373
Pd -3.5397 0.0873 0.4608
N 0.0000 0.0000 0.0000
```

As for the energy: -4.9123 eV/atom. Its space group is P4/mmm, No. 123. The value obtained for the density of states at the Fermi level is 2.46 states/eV per cell. The value obtained for the volume is 13.70 Å³/atom. Its energy relative to the elements, uncorrected is -0.41 eV per atom.

=====

no.,mass density (g/cm³)
1,7.276
2,5.519